YCu10Ag after structural relaxation, computed with PBE.

Calculated values
For the raw total energy, the calculation gives -50.71 eV for the cell shown. As for the symmetry: Pmmm. As for the magnetic moment: 0.0 μB per formula unit.

a b c (Å): 4.0965 4.9467 8.5716
angles (deg): 90.00 90.00 90.00
Sites, in units of the cell vectors:
Y: 0.0000 0.0000 0.0000
Cu: 0.0000 0.0000 0.3430
Cu: 0.0000 0.5000 0.8182
Cu: 0.0000 0.5000 0.1818
Cu: 0.0000 0.0000 0.6570
Cu: 0.5000 0.0000 0.5000
Cu: 0.5000 0.5000 0.0000
Cu: 0.5000 0.2478 0.2505
Cu: 0.5000 0.7522 0.7495
Cu: 0.5000 0.7522 0.2505
Cu: 0.5000 0.2478 0.7495
Ag: 0.0000 0.5000 0.5000